A relaxed Ta2Mo2O5 crystal. Source: Alexandria via LeMat-Bulk, functional GGA+U.

Structure (CIF):
```
data_Ta2Mo2O5
_symmetry_space_group_name_H-M 'P 4/m m m'
_symmetry_Int_Tables_number 123
_symmetry_space_group_name_Hall '-P 4 2'
_cell_length_a 3.325
_cell_length_b 3.325
_cell_length_c 9.335
_cell_angle_alpha 90.00
_cell_angle_beta 90.00
_cell_angle_gamma 90.00
loop_
_atom_site_label
_atom_site_fract_x
_atom_site_fract_y
_atom_site_fract_z
Ta1 0.000 0.000 0.000
Ta2 0.000 0.000 0.500
Mo1 0.500 0.500 0.199
O1 0.000 0.500 0.328
O2 0.500 0.500 0.500
```

Volume (Å³/cell): 103
Total magnetic moment (Bohr magnetons per cell): 1.6
Density of states at the Fermi level (states/eV per cell): 3.258
Electronic total energy (eV per atom): -7.71